Here is an optimized crystal structure of La2MoIr from Alexandria. Energies are from PBE.

Computed properties:
ΔH_f (0 K) ... 0.371 eV/atom
Crystal system ... tetragonal
Raw total energy ... -7.0159 eV/atom

Cell lengths 6.4189, 6.4189, 6.4189 Å; angles 103.95, 103.95, 121.19 degrees
Closest atoms and distances in Å follow each position.
Fractional positions:
La  0.1039  0.1250  0.4789  2 Ir 2.79, 2 Mo 3.02
La  0.3750  0.8961  0.0211  2 Ir 2.79, 2 Mo 3.02
La  0.6461  0.6250  0.5211  2 Ir 2.79, 2 Mo 3.02
La  0.8750  0.3539  0.9789  2 Ir 2.79, 2 Mo 3.02
Mo  0.2500  0.7500  0.5000  4 La 3.02, 2 Ir 3.15
Mo  0.5000  0.5000  0.0000  4 La 3.02, 2 Ir 3.15
Ir  0.0000  0.0000  0.0000  4 La 2.79
Ir  0.7500  0.2500  0.5000  4 La 2.79

Here is an optimized crystal structure of La2MoIr from Alexandria. Energies are from PBE.

Computed properties:
ΔH_f (0 K) ... 0.300 eV/atom
Crystal system ... monoclinic
Raw total energy ... -7.0864 eV/atom

Cell lengths 3.2095, 4.6565, 5.9650 Å; angles 90.00, 97.46, 90.00 degrees
Closest atoms and distances in Å follow each position.
Fractional positions:
La  0.2392  0.0000  0.2474  2 Mo 2.93, 2 Ir 2.94, 4 La 3.15-3.25
La  0.7608  0.0000  0.7526  2 Mo 2.93, 2 Ir 2.94, 4 La 3.15-3.25
Mo  0.0000  0.5000  0.5000  4 La 2.93, 2 Ir 3.20, 2 Mo 3.21
Ir  0.5000  0.5000  0.0000  4 La 2.94, 2 Mo 3.20, 2 Ir 3.21

Here is an optimized crystal structure of La2MoIr from Alexandria. Energies are from PBE.

Computed properties:
ΔH_f (0 K) ... -0.107 eV/atom
Crystal system ... orthorhombic
Raw total energy ... -7.4939 eV/atom

Cell lengths 4.3228, 5.7706, 5.7706 Å; angles 48.16, 90.00, 90.00 degrees
Closest atoms and distances in Å follow each position.
Fractional positions:
La  0.0000  0.0000  0.0000  3 Mo 3.16, 4 Ir 3.34
La  0.5000  0.3010  0.3010  3 Ir 3.06-3.23, 4 Mo 3.37
Mo  0.0000  0.7005  0.7005  2 Ir 2.45
Ir  0.5000  0.5913  0.5913  2 Mo 2.45

Copy entry 2 word for word.
Here is an optimized crystal structure of La2MoIr from Alexandria. Energies are from PBE.

Computed properties:
ΔH_f (0 K) ... 0.300 eV/atom
Crystal system ... monoclinic
Raw total energy ... -7.0864 eV/atom

Cell lengths 3.2095, 4.6565, 5.9650 Å; angles 90.00, 97.46, 90.00 degrees
Closest atoms and distances in Å follow each position.
Fractional positions:
La  0.2392  0.0000  0.2474  2 Mo 2.93, 2 Ir 2.94, 4 La 3.15-3.25
La  0.7608  0.0000  0.7526  2 Mo 2.93, 2 Ir 2.94, 4 La 3.15-3.25
Mo  0.0000  0.5000  0.5000  4 La 2.93, 2 Ir 3.20, 2 Mo 3.21
Ir  0.5000  0.5000  0.0000  4 La 2.94, 2 Mo 3.20, 2 Ir 3.21